{"formula": "Hf2NbCd", "functional": "PBE", "state": "optimized geometry", "dft_energy_ev_per_atom": -7.68, "crystal_system": "tetragonal", "rho_g_cm3": 11.4, "delta_e_f_ev_per_fu": 0.2, "lattice_angstrom": [[-1.490, -0.552, -3.868], [4.127, -0.531, -1.514], [-0.291, -4.357, 0.735]], "species": ["Hf", "Hf", "Nb", "Cd"], "frac_coords": [[0.000, 0.000, 0.500], [0.000, 0.500, 0.000], [0.500, 0.500, 0.500], [0.500, 0.000, 0.000]]}